# KCe2Ag2S6 (PBE, relaxed)
# - Electronic total energy: -55.36 eV/cell
# - Calculated volume: 26.492 Å³ per atom
# - Total magnetization: 0.0 μB/f.u.
# - Theoretical density: 4.15 g/cm3
data_KCe2Ag2S6
_chemical_formula_sum 'K1 Ce2 Ag2 S6'
_space_group_name_H-M_alt 'P -1'
_space_group_IT_number 2
_cell_length_a 6.8442
_cell_length_b 7.3505
_cell_length_c 7.4389
_cell_angle_alpha 60.89
_cell_angle_beta 70.65
_cell_angle_gamma 64.42
loop_
_space_group_symop_operation_xyz
'x,y,z'
'-x,-y,-z'
loop_
_atom_site_label
_atom_site_fract_x
_atom_site_fract_y
_atom_site_fract_z
K1 0.0000 0.0000 0.0000
Ce1 0.0186 0.3246 0.3236
Ag1 0.4887 0.7449 0.3503
S1 0.2312 0.5527 0.3599
S2 0.2377 0.9181 0.5912
S3 0.2432 0.3041 0.9530